# YThSe2

Crystalline YThSe2 at its relaxed geometry (PBE, Alexandria via LeMat-Bulk).

Cell lengths 3.917, 3.917, 23.001 Å; angles 90.00, 90.00, 120.00 degrees
Sites, in units of the cell vectors:
Y: 0.000 0.000 0.000
Y: 0.333 0.667 0.667
Y: 0.667 0.333 0.333
Th: 0.000 0.000 0.828
Th: 0.333 0.667 0.495
Th: 0.667 0.333 0.162
Se: 0.000 0.000 0.251
Se: 0.000 0.000 0.410
Se: 0.333 0.667 0.076
Se: 0.333 0.667 0.918
Se: 0.667 0.333 0.584
Se: 0.667 0.333 0.743

SG: R3m (160)
E: -6.80 eV/atom
Distance to the lowest polymorph of the same formula: 54.8 meV per atom
Calculated volume: 25.46 Å³ per atom
Energy relative to the elements, uncorrected: -1.59 eV/atom
Magnetization: 0.0 μB/f.u.


# YThSe2

Crystalline YThSe2 at its relaxed geometry (PBE, Alexandria via LeMat-Bulk).

Cell lengths 7.210, 7.210, 7.210 Å; angles 90.00, 90.00, 90.00 degrees
Sites, in units of the cell vectors:
Y: 0.000 0.000 0.000
Y: 0.000 0.500 0.500
Y: 0.500 0.000 0.500
Y: 0.500 0.500 0.000
Th: 0.000 0.000 0.500
Th: 0.000 0.500 0.000
Th: 0.500 0.000 0.000
Th: 0.500 0.500 0.500
Se: 0.250 0.250 0.250
Se: 0.250 0.250 0.750
Se: 0.250 0.750 0.250
Se: 0.250 0.750 0.750
Se: 0.750 0.250 0.250
Se: 0.750 0.250 0.750
Se: 0.750 0.750 0.250
Se: 0.750 0.750 0.750

SG: Fm-3m (225)
E: -6.64 eV/atom
Distance to the lowest polymorph of the same formula: 221.9 meV per atom
Calculated volume: 23.43 Å³ per atom
Energy relative to the elements, uncorrected: -1.42 eV/atom
Magnetization: 0.0 μB/f.u.


# YTh6Se12

Crystalline YTh6Se12 at its relaxed geometry (PBE, Alexandria via LeMat-Bulk).

Cell lengths 8.429, 8.429, 8.429 Å; angles 100.33, 100.33, 100.33 degrees
Sites, in units of the cell vectors:
Y: 0.000 0.000 0.000
Th: 0.138 0.633 0.308
Th: 0.308 0.138 0.633
Th: 0.367 0.692 0.862
Th: 0.633 0.308 0.138
Th: 0.692 0.862 0.367
Th: 0.862 0.367 0.692
Se: 0.041 0.673 0.936
Se: 0.064 0.959 0.327
Se: 0.174 0.423 0.564
Se: 0.327 0.064 0.959
Se: 0.423 0.564 0.174
Se: 0.436 0.826 0.577
Se: 0.564 0.174 0.423
Se: 0.577 0.436 0.826
Se: 0.673 0.936 0.041
Se: 0.826 0.577 0.436
Se: 0.936 0.041 0.673
Se: 0.959 0.327 0.064

SG: R-3 (148)
E: -6.55 eV/atom
Calculated volume: 29.77 Å³ per atom
Energy relative to the elements, uncorrected: -1.66 eV/atom
Magnetization: 0.0 μB/f.u.


# YThSe4

Crystalline YThSe4 at its relaxed geometry (PBE, Alexandria via LeMat-Bulk).

Cell lengths 7.076, 7.009, 7.147 Å; angles 90.00, 93.04, 90.00 degrees
Sites, in units of the cell vectors:
Y: 0.000 0.000 0.000
Y: 0.000 0.500 0.500
Th: 0.500 0.000 0.500
Th: 0.500 0.500 0.000
Se: 0.127 0.129 0.632
Se: 0.127 0.371 0.132
Se: 0.354 0.643 0.646
Se: 0.354 0.857 0.146
Se: 0.646 0.143 0.854
Se: 0.646 0.357 0.354
Se: 0.873 0.629 0.868
Se: 0.873 0.871 0.368

SG: P2_1/c (14)
E: -6.05 eV/atom
Calculated volume: 29.50 Å³ per atom
Energy relative to the elements, uncorrected: -1.41 eV/atom
Magnetization: 0.8 μB/f.u.


# YTh6Se8

Crystalline YTh6Se8 at its relaxed geometry (PBE, Alexandria via LeMat-Bulk).

Cell lengths 8.355, 8.355, 8.355 Å; angles 60.00, 60.00, 60.00 degrees
Sites, in units of the cell vectors:
Y: 0.000 0.000 0.000
Th: 0.000 0.000 0.500
Th: 0.000 0.500 0.000
Th: 0.000 0.500 0.500
Th: 0.500 0.000 0.000
Th: 0.500 0.000 0.500
Th: 0.500 0.500 0.000
Se: 0.250 0.250 0.250
Se: 0.252 0.252 0.748
Se: 0.252 0.748 0.252
Se: 0.252 0.748 0.748
Se: 0.748 0.252 0.252
Se: 0.748 0.252 0.748
Se: 0.748 0.748 0.252
Se: 0.750 0.750 0.750

SG: Fm-3m (225)
E: -6.89 eV/atom
Calculated volume: 27.49 Å³ per atom
Energy relative to the elements, uncorrected: -1.63 eV/atom
Magnetization: 0.0 μB/f.u.


# Y5Th3Se8

Crystalline Y5Th3Se8 at its relaxed geometry (PBE, Alexandria via LeMat-Bulk).

Cell lengths 8.390, 8.390, 8.390 Å; angles 58.09, 58.09, 58.09 degrees
Sites, in units of the cell vectors:
Y: 0.000 0.000 0.000
Y: 0.000 0.500 0.500
Y: 0.500 0.000 0.500
Y: 0.500 0.500 0.000
Y: 0.500 0.500 0.500
Th: 0.000 0.000 0.500
Th: 0.000 0.500 0.000
Th: 0.500 0.000 0.000
Se: 0.250 0.250 0.741
Se: 0.250 0.741 0.250
Se: 0.255 0.255 0.255
Se: 0.259 0.750 0.750
Se: 0.741 0.250 0.250
Se: 0.745 0.745 0.745
Se: 0.750 0.259 0.750
Se: 0.750 0.750 0.259

SG: R-3m (166)
E: -6.82 eV/atom
Calculated volume: 24.96 Å³ per atom
Energy relative to the elements, uncorrected: -1.67 eV/atom
Magnetization: 0.0 μB/f.u.


# YThSe

Crystalline YThSe at its relaxed geometry (PBE, Alexandria via LeMat-Bulk).

Cell lengths 3.889, 3.889, 6.788 Å; angles 90.00, 90.00, 120.00 degrees
Sites, in units of the cell vectors:
Y: 0.000 0.000 0.000
Th: 0.333 0.667 0.567
Se: 0.667 0.333 0.270

SG: P3m1 (156)
E: -6.74 eV/atom
Distance to the lowest polymorph of the same formula: 0.0 meV per atom
Calculated volume: 29.63 Å³ per atom
Energy relative to the elements, uncorrected: -0.95 eV/atom
Magnetization: 0.8 μB/f.u.


# Y3Th5Se8

Crystalline Y3Th5Se8 at its relaxed geometry (PBE, Alexandria via LeMat-Bulk).

Cell lengths 8.477, 8.477, 8.477 Å; angles 57.66, 57.66, 57.66 degrees
Sites, in units of the cell vectors:
Y: 0.000 0.500 0.500
Y: 0.500 0.000 0.500
Y: 0.500 0.500 0.000
Th: 0.000 0.000 0.000
Th: 0.000 0.000 0.500
Th: 0.000 0.500 0.000
Th: 0.500 0.000 0.000
Th: 0.500 0.500 0.500
Se: 0.250 0.250 0.740
Se: 0.250 0.740 0.250
Se: 0.255 0.255 0.255
Se: 0.260 0.750 0.750
Se: 0.740 0.250 0.250
Se: 0.745 0.745 0.745
Se: 0.750 0.260 0.750
Se: 0.750 0.750 0.260

SG: R-3m (166)
E: -6.89 eV/atom
Calculated volume: 25.47 Å³ per atom
Energy relative to the elements, uncorrected: -1.62 eV/atom
Magnetization: 0.0 μB/f.u.


Q: energy relative to the elements, uncorrected of number 4 (YThSe4)?
A: -1.41 eV/atom


Q: What is the formula in the sixth record?
A: Y5Th3Se8